Record 1
Al2SbSe, optimized geometry, DFT PBE; energy relative to the elements, uncorrected = -0.18 eV per atom; symmetry = R3m; E = -3.951 eV per atom
1.0
9.7563 0.0374 0.0221
9.0817 3.5650 0.0221
9.0817 1.7367 3.1134
Sb Al Se
1 2 1
Cartesian
13.2134 2.5268 1.4944 Sb
20.6589 3.9506 2.3365 Al
27.9018 5.3356 3.1556 Al
8.0251 1.5346 0.9076 Se

=====

Record 2
Al2SbSe, optimized geometry, DFT PBE; energy relative to the elements, uncorrected = 0.06 eV per atom; symmetry = Pmmm; E = -3.712 eV per atom
1.0
3.3701 0.0000 0.0000
0.0000 3.3838 0.0000
0.0000 0.0000 7.2645
Se Al Sb
1 2 1
Cartesian
1.6850 1.6919 5.4484 Se
0.0000 0.0000 7.0618 Al
0.0000 0.0000 3.8350 Al
1.6850 1.6919 1.8161 Sb

=====

Record 3
Al4SbSe, optimized geometry, DFT PBE; energy relative to the elements, uncorrected = 0.21 eV per atom; symmetry = F-43m; E = -3.555 eV per atom
1.0
-3.9273 -3.8829 -0.4258
-5.1606 1.0826 1.6965
-4.0720 0.5746 -3.7108
Al Sb Se
4 1 1
Cartesian
-4.9338 -0.8344 -0.9148 Al
-7.5159 -0.2927 -0.0660 Al
-6.9712 -0.5469 -2.7716 Al
-6.8988 -2.7772 -1.1279 Al
-9.8699 -1.6692 -1.8301 Sb
0.0000 0.0000 0.0000 Se

=====

Record 4
Al5Sb3Se12, optimized geometry, DFT PBE; energy relative to the elements, uncorrected = -0.53 eV per atom; symmetry = Ia-3d; E = -4.172 eV per atom
1.0
-11.6435 -2.4047 6.8367
-2.0547 -2.0755 -13.4002
9.7799 -8.4992 4.4957
Al Se Sb
20 48 12
Cartesian
0.2190 -3.2037 -3.0466 Al
-4.1373 -9.7757 0.9788 Al
-6.8491 -2.2401 -3.2818 Al
-1.9592 -6.4897 -1.0339 Al
4.8899 -4.2496 2.2479 Al
2.7118 -7.5356 4.2605 Al
-6.6301 -5.4438 -6.3283 Al
0.0000 0.0000 0.0000 Al
-1.0273 -1.0377 -6.7001 Al
3.8626 -5.2874 -4.4522 Al
-0.9318 -5.4520 5.6662 Al
-0.2608 -10.4964 -1.8434 Al
-3.4862 -3.4796 -9.4540 Al
-0.4321 -9.4998 7.3863 Al
-4.5893 -7.9350 5.4419 Al
-5.8218 -1.2024 3.4183 Al
0.6710 -5.0444 -7.5097 Al
2.4310 -6.6915 -0.5061 Al
-3.6575 -2.4830 -0.2243 Al
-6.3494 -6.2879 -1.5617 Al
-2.5781 -7.0363 4.4772 Se
0.4857 -10.4932 0.4426 Se
5.2828 -7.3796 -4.9415 Se
-8.1877 -2.2176 3.3428 Se
-1.6552 -8.6288 -2.4360 Se
-4.5881 -10.6417 -1.2190 Se
-7.0828 -8.4069 -2.4308 Se
-10.7696 -5.0591 -0.5001 Se
0.7057 -6.2727 3.8555 Se
3.1645 -4.5726 0.3631 Se
-2.1724 -9.8264 9.0135 Se
-9.2011 -5.5998 2.8737 Se
0.8319 -5.3058 -9.8948 Se
-1.7459 -3.1530 -11.0812 Se
-2.2546 -9.1843 -5.9028 Se
3.7962 -8.5601 0.1482 Se
0.6698 -2.3377 -0.8488 Se
-4.1078 -6.2334 -2.4309 Se
-4.4040 -2.4862 -2.5103 Se
-0.9482 -10.3472 5.1957 Se
4.2694 -10.7619 -5.4106 Se
-5.9619 -3.3063 -5.4520 Se
0.1895 -6.7460 0.3632 Se
-8.6052 -6.3622 -5.3091 Se
-5.4157 -2.7441 1.3955 Se
-2.9701 -2.6322 -7.2634 Se
2.0436 -9.6731 3.3843 Se
1.4974 -10.2353 -3.4632 Se
-6.2367 -6.7051 4.1942 Se
-1.6638 -3.7952 3.8350 Se
-4.7502 -7.6737 7.8271 Se
-5.2745 -3.3246 4.7713 Se
-7.7145 -4.4194 -2.2160 Se
-11.1511 -4.1290 -6.4129 Se
-4.6240 -6.7067 -5.9232 Se
-1.3402 -5.9432 -6.5450 Se
2.3184 -6.2743 -6.2620 Se
-3.0631 -7.6243 0.9979 Se
6.8512 -7.9203 -1.5676 Se
-6.4923 -6.0921 0.8309 Se
1.3561 -9.6548 -6.8391 Se
-1.3809 -1.9269 -4.3088 Se
4.6869 -6.6173 3.2413 Se
-0.8552 -5.3552 -3.0657 Se
2.5740 -6.8873 -2.8987 Se
7.2327 -8.8504 4.3451 Se
-2.2631 -4.3506 0.3682 Se
-2.5374 -11.0526 2.2410 Se
0.2051 -7.7704 -4.6766 Sb
4.0816 -8.4911 -7.4988 Sb
4.3623 -9.3352 -2.7322 Sb
-0.7128 -8.6557 2.6197 Sb
-4.1234 -5.2090 2.6088 Sb
6.5883 -8.2563 1.4383 Sb
-10.5066 -4.7232 -3.5061 Sb
0.4997 -4.0478 1.7200 Sb
-4.4181 -8.9316 -3.7878 Sb
-8.2807 -3.6443 0.6644 Sb
-7.9999 -4.4884 5.4310 Sb
-3.2055 -4.3238 -4.6874 Sb

=====

Record 5
AlSb2Se5, optimized geometry, DFT PBE; energy relative to the elements, uncorrected = -0.27 eV per atom; symmetry = Cmcm; E = -3.943 eV per atom
1.0
-2.8700 -0.6107 -4.7641
-3.1833 -3.1296 5.6045
-6.2920 10.7258 2.4156
Se Al Sb
10 2 4
Cartesian
-3.5423 -1.2132 2.2895 Se
-6.8181 4.8151 0.2046 Se
-1.2830 1.0029 0.6444 Se
-9.5150 3.3449 2.0177 Se
-5.1189 0.8061 -0.3052 Se
-2.8303 3.6405 1.2384 Se
-5.5272 2.1703 3.0515 Se
-8.8030 8.1986 0.9666 Se
-11.0623 5.9826 2.6117 Se
-7.2264 6.1794 3.5613 Se
-8.9168 5.6841 1.3574 Al
-3.4285 1.3013 1.8986 Al
-7.3317 9.0301 3.2593 Sb
-5.0136 -2.0446 -0.0032 Sb
-7.4061 2.0339 0.9153 Sb
-4.9392 4.9516 2.3408 Sb

=====

Record 6
AlSbSe, optimized geometry, DFT PBE; energy relative to the elements, uncorrected = 0.14 eV per atom; symmetry = F-43m; E = -3.642 eV per atom
1.0
-1.2851 -3.3733 -3.0413
3.1111 -1.6575 -3.1390
1.7168 -4.3726 0.4616
Sb Al Se
1 1 1
Cartesian
0.0000 0.0000 0.0000 Sb
2.6571 -7.0525 -4.2891 Al
1.7714 -4.7017 -2.8594 Se

=====

Record 7
Al2SbSe, optimized geometry, DFT PBE; energy relative to the elements, uncorrected = -0.05 eV per atom; symmetry = I4/mmm; E = -3.823 eV per atom
1.0
4.9002 -0.0125 0.0008
-1.5794 4.6388 0.0008
1.6552 2.3058 3.9936
Se Al Sb
1 2 1
Cartesian
0.0379 3.4723 1.9972 Se
0.0000 0.0000 0.0000 Al
1.6604 2.3131 0.0008 Al
3.2777 1.1467 1.9972 Sb

=====

Record 8
Al2SbSe, optimized geometry, DFT PBE; energy relative to the elements, uncorrected = 0.28 eV per atom; symmetry = F-43m; E = -3.496 eV per atom
1.0
4.9581 0.0000 0.0000
2.4791 4.2939 0.0000
2.4791 1.4313 4.0483
Sb Al Se
1 2 1
Cartesian
4.9581 2.8626 2.0242 Sb
0.0000 0.0000 0.0000 Al
2.4791 1.4313 1.0121 Al
7.4372 4.2939 3.0362 Se

=====

Record 9
AlSb2Se, optimized geometry, DFT PBE; energy relative to the elements, uncorrected = 0.19 eV per atom; symmetry = Immm; E = -3.683 eV per atom
1.0
5.9058 0.0096 0.0252
2.3296 5.4269 -0.0252
-3.4101 -3.7900 2.9809
Sb Se Al
2 1 1
Cartesian
8.2082 5.4186 0.0000 Sb
4.1448 2.7361 0.0000 Sb
3.3066 -0.5311 1.5030 Se
1.5185 2.1776 1.4779 Al

=====

Record 10
Al2SbSe, optimized geometry, DFT PBE; energy relative to the elements, uncorrected = -0.16 eV per atom; symmetry = I-42d; E = -3.934 eV per atom
1.0
-1.7767 -2.9664 4.8127
-3.9255 -2.9832 -3.2879
1.5571 -7.4970 -0.3976
Al Sb Se
4 2 2
Cartesian
-1.0352 -7.9030 0.2195 Al
-3.7569 -10.7795 1.0902 Al
-1.1826 -4.0523 2.4183 Al
-2.3155 -4.1584 -1.4735 Al
0.0000 0.0000 0.0000 Sb
-1.5354 -6.7191 2.5888 Sb
-2.8511 -2.9748 0.7624 Se
-2.6097 -6.7275 -1.4615 Se

=====

Record 11
AlSb2Se, optimized geometry, DFT PBE; energy relative to the elements, uncorrected = 0.21 eV per atom; symmetry = F-43m; E = -3.662 eV per atom
1.0
-4.2747 2.3221 1.5595
-4.4767 -2.4471 -0.2599
-2.3242 -1.5352 4.2823
Sb Al Se
2 1 1
Cartesian
0.0000 0.0000 0.0000 Sb
-2.7689 -0.4151 1.3955 Sb
-5.5378 -0.8301 2.7909 Al
-8.3067 -1.2452 4.1864 Se

=====

Record 12
Al2SbSe, optimized geometry, DFT PBE; energy relative to the elements, uncorrected = 0.05 eV per atom; symmetry = Cmmm; E = -3.726 eV per atom
1.0
-3.1751 -1.6555 0.0870
2.4268 -1.6041 -2.0897
2.3503 -4.1950 5.9495
Al Sb Se
2 1 1
Cartesian
1.2169 -2.1721 3.0805 Al
2.3085 -4.1205 5.8438 Al
0.2134 -2.6785 0.4860 Sb
1.3886 -4.7760 3.4608 Se

=====

Record 13
Al2SbSe2, optimized geometry, DFT PBE; energy relative to the elements, uncorrected = -0.07 eV per atom; symmetry = I4/mmm; E = -3.787 eV per atom
1.0
5.1013 0.0000 0.0000
0.0000 5.1013 0.0000
2.5506 2.5506 4.2450
Al Sb Se
2 1 2
Cartesian
5.1013 5.1013 2.9365 Al
2.5506 2.5506 1.3085 Al
0.0000 0.0000 0.0000 Sb
2.5506 5.1013 2.1225 Se
5.1013 2.5506 2.1225 Se

=====

Record 14
AlSb2Se, optimized geometry, DFT PBE; energy relative to the elements, uncorrected = 0.02 eV per atom; symmetry = C2/m; E = -3.845 eV per atom
1.0
-0.1135 -3.4112 -6.5327
1.6916 -5.6157 -4.4641
-3.2279 -2.5724 0.0753
Al Sb Se
1 2 1
Cartesian
-0.4125 -2.8998 -2.7304 Al
-0.5309 -6.1736 -6.1158 Sb
1.2841 -8.6529 -10.3418 Sb
-1.2374 -8.6994 -8.1912 Se

=====

Record 15
Al3SbSe, optimized geometry, DFT PBE; energy relative to the elements, uncorrected = 0.46 eV per atom; symmetry = Pm-3m; E = -3.303 eV per atom
1.0
-0.1636 3.6489 3.4278
-3.8151 2.1299 -2.4494
-3.2418 -2.6907 2.7096
Se Al Sb
1 3 1
Cartesian
0.0000 0.0000 0.0000 Se
-1.6209 -1.3453 1.3548 Al
-0.0818 1.8245 1.7139 Al
-1.9076 1.0649 -1.2247 Al
-3.6102 1.5441 1.8440 Sb

=====

Record 16
Al2SbSe, optimized geometry, DFT PBE; energy relative to the elements, uncorrected = -0.24 eV per atom; symmetry = Pm; E = -4.008 eV per atom
1.0
5.5103 0.0000 0.0000
0.0000 4.0064 -0.0430
0.0000 0.0986 4.0780
Al Se Sb
2 1 1
Cartesian
2.7552 1.4903 1.1742 Al
0.0000 3.6079 3.6498 Al
2.7552 3.5975 3.5888 Se
0.0000 1.5668 1.6746 Sb

=====

Record 17
AlSb2Se, optimized geometry, DFT PBE; energy relative to the elements, uncorrected = -0.12 eV per atom; symmetry = Amm2; E = -3.984 eV per atom
1.0
4.0423 0.0000 0.0000
0.0000 5.2542 0.0271
0.0000 1.9810 4.8687
Sb Se Al
2 1 1
Cartesian
0.0000 7.1989 4.8733 Sb
2.0212 1.6993 1.1484 Sb
0.0000 3.9081 2.6463 Se
2.0212 5.2816 3.5718 Al

=====

Record 18
AlSb2Se, optimized geometry, DFT PBE; energy relative to the elements, uncorrected = 0.18 eV per atom; symmetry = P4/mmm; E = -3.692 eV per atom
1.0
-2.7039 0.3082 2.2245
2.2221 -0.1439 2.7195
0.7002 7.4330 -0.1788
Sb Al Se
2 1 1
Cartesian
0.6938 7.3658 -0.1772 Sb
0.3564 3.7837 -0.0910 Sb
0.2842 5.6569 2.3379 Al
-0.0659 1.9404 2.4273 Se

=====

Record 19
AlSbSe, optimized geometry, DFT PBE; energy relative to the elements, uncorrected = 0.31 eV per atom; symmetry = F-43m; E = -3.473 eV per atom
1.0
4.8722 0.0000 0.0000
2.4361 4.2194 0.0000
2.4361 1.4065 3.9781
Sb Se Al
1 1 1
Cartesian
7.3082 4.2194 2.9836 Sb
0.0000 0.0000 0.0000 Se
4.8722 2.8129 1.9890 Al

=====

Record 20
Al2SbSe, optimized geometry, DFT PBE; energy relative to the elements, uncorrected = 0.13 eV per atom; symmetry = I-4m2; E = -3.643 eV per atom
1.0
-4.2148 4.6312 -0.4419
-5.2285 0.6946 3.4041
6.1517 -1.1808 0.4129
Sb Se Al
1 1 2
Cartesian
-4.7216 2.6629 1.4811 Sb
-1.3924 3.0567 0.7260 Se
-1.8992 1.0884 2.6490 Al
0.0000 0.0000 0.0000 Al

=====

Record 21
AlSbSe, optimized geometry, DFT PBE; energy relative to the elements, uncorrected = -0.03 eV per atom; symmetry = I4mm; E = -3.817 eV per atom
1.0
-5.2729 3.4083 1.0745
-5.4564 1.0549 -3.1127
4.3693 -4.1197 2.1239
Sb Al Se
1 1 1
Cartesian
-3.7800 1.5724 -0.7181 Sb
-0.2722 0.1132 -0.0517 Al
-6.6771 2.7775 -1.2684 Se

=====

Record 22
Al2SbSe, optimized geometry, DFT PBE; energy relative to the elements, uncorrected = 0.10 eV per atom; symmetry = P4/mmm; E = -3.673 eV per atom
1.0
4.9304 0.0000 0.0000
0.0000 4.9304 0.0000
0.0000 0.0000 3.4436
Se Al Sb
1 2 1
Cartesian
0.0000 2.4652 1.7218 Se
2.4652 2.4652 0.0000 Al
0.0000 0.0000 0.0000 Al
2.4652 0.0000 1.7218 Sb

=====

Record 23
Al2SbSe, optimized geometry, DFT PBE; energy relative to the elements, uncorrected = 0.05 eV per atom; symmetry = Imm2; E = -3.719 eV per atom
1.0
5.7763 -0.0183 -0.0156
2.1472 5.3624 0.0156
-3.1336 -3.8999 2.8875
Sb Se Al
1 1 2
Cartesian
3.7646 2.5391 0.0000 Sb
3.7344 -0.3316 1.4359 Se
7.8949 5.3248 0.0000 Al
1.2813 1.9281 1.4516 Al

=====

Record 24
AlSb2Se, optimized geometry, DFT PBE; energy relative to the elements, uncorrected = 0.02 eV per atom; symmetry = Cmm2; E = -3.843 eV per atom
1.0
3.5085 -0.0159 0.0000
-1.4067 3.2142 0.0000
0.0000 0.0000 9.2947
Al Sb Se
1 2 1
Cartesian
1.0509 1.5991 6.7931 Al
1.0509 1.5991 2.0565 Sb
0.0000 0.0000 9.0546 Sb
0.0000 0.0000 5.3326 Se

=====

Record 25
Al2SbSe, optimized geometry, DFT PBE; energy relative to the elements, uncorrected = 0.14 eV per atom; symmetry = Fm-3m; E = -3.638 eV per atom
1.0
0.0000 3.4679 3.4679
3.4679 0.0000 3.4679
3.4679 3.4679 0.0000
Al Sb Se
2 1 1
Cartesian
5.2019 5.2019 5.2019 Al
1.7340 1.7340 1.7340 Al
3.4679 3.4679 3.4679 Sb
0.0000 0.0000 0.0000 Se